The following is a DFT calculation (GGA-PBE) of CsMg2AgCl6 after structural relaxation.

a = 7.4304 Å, b = 10.0725 Å, c = 10.0725 Å
α = 94.37°, β = 77.86°, γ = 77.86°
Closest atoms and distances in Å follow each position.
Element x y z (fractional)
Cs (0.2500, 0.8911, 0.1089)  6 Cl 3.44-3.53
Cs (0.7500, 0.1089, 0.8911)  6 Cl 3.44-3.53
Mg (0.3163, 0.7684, 0.6146)  4 Cl 2.34-2.40
Mg (0.1837, 0.3854, 0.2316)  4 Cl 2.34-2.40
Mg (0.6837, 0.2316, 0.3854)  4 Cl 2.34-2.40
Mg (0.8163, 0.6146, 0.7684)  4 Cl 2.34-2.40
Ag (0.2500, 0.2474, 0.7526)  2 Cl 2.48
Ag (0.7500, 0.7526, 0.2474)  2 Cl 2.48
Cl (0.2268, 0.9643, 0.7751)  1 Mg 2.34
Cl (0.2732, 0.2249, 0.0357)  1 Mg 2.34
Cl (0.7732, 0.0357, 0.2249)  1 Mg 2.34
Cl (0.7268, 0.7751, 0.9643)  1 Mg 2.34
Cl (0.4245, 0.8252, 0.3942)  1 Mg 2.35, 1 Ag 2.48
Cl (0.0755, 0.6058, 0.1748)  1 Mg 2.35, 1 Ag 2.48
Cl (0.5755, 0.1748, 0.6058)  1 Mg 2.35, 1 Ag 2.48
Cl (0.9245, 0.3942, 0.8252)  1 Mg 2.35, 1 Ag 2.48
Cl (0.0407, 0.6843, 0.5989)  2 Mg 2.38-2.40
Cl (0.4593, 0.4011, 0.3157)  2 Mg 2.38-2.40
Cl (0.9593, 0.3157, 0.4011)  2 Mg 2.38-2.40
Cl (0.5407, 0.5989, 0.6843)  2 Mg 2.38-2.40

Its energy relative to the elements, uncorrected is -15.7 eV/f.u. The space group is No. 15. The electronic total energy comes out at -3.36 eV per atom.